No. 1
Compound: Pm4NdIr
Source: Alexandria
Functional: GGA-PBE
Structure: optimized geometry

Its final energy is -32.34 eV per formula unit.

The structure belongs to space group P4/mmm (No. 123); the cell edges are 4.875, 4.875 and 8.991 Å and the angles 90.00°, 90.00° and 90.00°. The asymmetric unit holds Pm at (0.000, 0.500, 0.190), Nd at (0.000, 0.000, 0.500) and Ir at (0.500, 0.500, 0.000).


No. 2
Compound: Pr2Cd2Pd3
Source: Alexandria
Functional: GGA-PBE
Structure: optimized geometry

Its final energy is -31.47 eV per formula unit.

The structure belongs to space group C2/m (No. 12); the cell edges are 10.255, 4.318 and 7.426 Å and the angles 90.00°, 106.49° and 90.00°. The asymmetric unit holds Pr at (0.127, 0.000, 0.300), Cd at (0.127, 0.500, 0.933), Pd at (0.000, 0.500, 0.500) and Pd at (0.166, 0.000, 0.712).


No. 3
Compound: BMoPS2
Source: Alexandria
Functional: GGA-PBE
Structure: optimized geometry

The value obtained for the energy relative to the lowest polymorph listed for this composition is 0.0 kJ per mole of atoms. The uncorrected formation energy comes out at 0.830 eV per atom.

The structure belongs to space group P4/mmm (No. 123); the cell edges are 4.182, 4.182 and 3.998 Å and the angles 90.00°, 90.00° and 90.00°. The asymmetric unit holds B at (0.000, 0.000, 0.000), Mo at (0.500, 0.500, 0.500), P at (0.000, 0.000, 0.500) and S at (0.000, 0.500, 0.000).


No. 4
Compound: CaYIn6
Source: Alexandria
Functional: GGA-PBE
Structure: optimized geometry

Its final energy is -27.91 eV per formula unit.

The structure belongs to space group P4/mmm (No. 123); the cell edges are 4.679, 4.679 and 9.382 Å and the angles 90.00°, 90.00° and 90.00°. The asymmetric unit holds Ca at (0.000, 0.000, 0.000), Y at (0.000, 0.000, 0.500), In at (0.000, 0.500, 0.252), In at (0.500, 0.500, 0.000) and In at (0.500, 0.500, 0.500).


For reference, M_tot by record: 0.19, 0.00, 0.39, 0.00 μB per atom.